(1)
{
  "formula": "PmYCo2",
  "functional": "PBE",
  "state": "optimized geometry",
  "sg": "Pmc2_1",
  "ef_ev_per_atom": -0.14,
  "magmom_total_mub_per_fu": 0.43,
  "dft_energy_ev_per_atom": -6.49,
  "e_above_lowest_polymorph_mev_per_atom": 3,
  "lattice": [[-2.5006, 0.9533, 2.8324], [-4.1187, -2.7218, -2.7201], [1.7812, -6.4294, 3.7364]],
  "species": ["Pm", "Pm", "Y", "Y", "Co", "Co", "Co", "Co"],
  "fractional_positions": [[0.5000, 0.3662, 0.3230], [0.5000, 0.6338, 0.8230], [0.0000, 0.1329, 0.6792], [0.0000, 0.8671, 0.1792], [0.0000, 0.6632, 0.5258], [0.0000, 0.3368, 0.0258], [0.5000, 0.8523, 0.4720], [0.5000, 0.1477, 0.9720]]
}

***

(2)
{
  "formula": "Pm5TmTe4",
  "functional": "PBE",
  "state": "optimized geometry",
  "sg": "Pmmn",
  "magmom_total_mub_per_fu": 0.00,
  "raw_formation_energy_ev_per_atom": -0.857,
  "dft_energy_ev_per_atom": -4.94,
  "lattice": [[7.6473, 0.0000, 0.0000], [0.0000, 9.2200, 0.0000], [0.0000, 0.0000, 9.9657]],
  "species": ["Pm", "Pm", "Pm", "Pm", "Pm", "Pm", "Pm", "Pm", "Pm", "Pm", "Tm", "Tm", "Te", "Te", "Te", "Te", "Te", "Te", "Te", "Te"],
  "fractional_positions": [[0.2485, 0.7013, 0.8044], [0.2485, 0.2987, 0.8044], [0.8619, 0.5000, 0.0000], [0.2485, 0.7013, 0.1956], [0.2485, 0.2987, 0.1956], [0.7515, 0.7987, 0.3044], [0.7515, 0.2013, 0.3044], [0.1381, 0.0000, 0.5000], [0.7515, 0.2013, 0.6956], [0.7515, 0.7987, 0.6956], [0.7901, 0.0000, 0.0000], [0.2099, 0.5000, 0.5000], [0.0645, 0.0000, 0.7972], [0.5691, 0.7376, 0.0000], [0.5691, 0.2624, 0.0000], [0.0645, 0.0000, 0.2028], [0.9355, 0.5000, 0.2972], [0.4309, 0.7624, 0.5000], [0.4309, 0.2376, 0.5000], [0.9355, 0.5000, 0.7028]]
}